{"formula": "ScBeI2", "functional": "PBE", "state": "relaxed", "total_energy_ev_per_cell": -12.3, "e_form_raw_ev_per_atom": 0.202, "sg": "No. 225", "volume_a3_per_atom": 24.8, "lattice_angstrom": [[0.000, 3.676, 3.676], [3.676, 0.000, 3.676], [3.676, 3.676, 0.000]], "species": ["I", "I", "Sc", "Be"], "fractional_positions": [[0.250, 0.250, 0.250], [0.750, 0.750, 0.750], [0.500, 0.500, 0.500], [0.000, 0.000, 0.000]]}

---

{"formula": "InNiAg", "functional": "PBE", "state": "relaxed", "total_energy_ev_per_cell": -11.0, "formation_energy_ev_per_atom": 0.11, "sg": "No. 216", "volume_a3_per_atom": 19.1, "lattice_angstrom": [[4.326, 0.000, 0.000], [2.163, 3.747, 0.000], [2.163, 1.249, 3.532]], "species": ["Ag", "In", "Ni"], "fractional_positions": [[0.000, 0.000, 0.000], [0.500, 0.500, 0.500], [0.750, 0.750, 0.750]]}

---

{"formula": "YSc2Ni", "functional": "PBE", "state": "relaxed", "total_energy_ev_per_cell": -25.7, "formation_energy_ev_per_atom": -0.19, "sg": "No. 123", "volume_a3_per_atom": 22.0, "lattice_angstrom": [[-1.436, -1.753, -2.334], [2.639, -1.891, -0.207], [-3.191, -5.085, 5.783]], "species": ["Y", "Ni", "Sc", "Sc"], "fractional_positions": [[0.500, 0.500, 0.250], [0.500, 0.500, 0.750], [0.000, 0.000, 0.932], [0.000, 0.000, 0.568]]}

---

{"formula": "LaTeMo2", "functional": "PBE", "state": "relaxed", "total_energy_ev_per_cell": -26.8, "e_form_raw_ev_per_atom": 0.734, "sg": "No. 65", "volume_a3_per_atom": 21.3, "lattice_angstrom": [[3.221, 0.014, 0.000], [-1.330, 2.934, 0.000], [0.000, 0.000, 9.003]], "species": ["La", "Mo", "Mo", "Te"], "fractional_positions": [[0.500, 0.500, 0.750], [0.000, 0.000, 0.022], [0.000, 0.000, 0.478], [0.500, 0.500, 0.250]]}

---

{"formula": "YAlGaAg", "functional": "PBE", "state": "relaxed", "total_energy_ev_per_cell": -17.4, "formation_energy_ev_per_atom": -0.33, "sg": "No. 216", "volume_a3_per_atom": 20.0, "lattice_angstrom": [[4.840, 0.000, 0.000], [2.420, 4.191, 0.000], [2.420, 1.397, 3.952]], "species": ["Y", "Ga", "Ag", "Al"], "fractional_positions": [[0.500, 0.500, 0.500], [0.250, 0.250, 0.250], [0.750, 0.750, 0.750], [0.000, 0.000, 0.000]]}

---

{"formula": "Ta2ReRh", "functional": "PBE", "state": "relaxed", "total_energy_ev_per_cell": -43.6, "formation_energy_ev_per_atom": -0.03, "sg": "No. 216", "volume_a3_per_atom": 16.3, "lattice_angstrom": [[2.869, 2.474, 2.461], [-0.954, 0.939, 4.314], [2.383, -1.936, 3.313]], "species": ["Ta", "Ta", "Re", "Rh"], "fractional_positions": [[0.000, 0.000, 0.000], [0.250, 0.250, 0.250], [0.500, 0.500, 0.500], [0.750, 0.750, 0.750]]}